Record 1
Computed, not measured: an optimized crystal structure of Ce2NbSn at the GGA-PBE level of DFT.

Cell and atoms, written as CIF:
```
data_Ce2NbSn
_chemical_formula_sum 'Ce6 Nb3 Sn3'
_cell_length_a 3.1408
_cell_length_b 3.1408
_cell_length_c 33.9821
_cell_angle_alpha 90.00
_cell_angle_beta 90.00
_cell_angle_gamma 120.00
_space_group_name_H-M_alt 'R -3 m'
_space_group_IT_number 166
_space_group_name_Hall '-R 3 2"'
loop_
_atom_site_label
_atom_site_type_symbol
_atom_site_fract_x
_atom_site_fract_y
_atom_site_fract_z
_atom_site_occupancy
Ce1 Ce 0.0000 0.0000 0.0828 1
Nb1 Nb 0.0000 0.0000 0.0000 1
Sn1 Sn 0.0000 0.0000 0.5000 1
```

Results
Formation energy from the elements = 17.9 kJ/mol of atoms
Energy above the lowest structure with this stoichiometry = 386.8 meV/atom
Density = 8.44 g/cm3

***

Record 2
Computed, not measured: an optimized crystal structure of MgAlAg2 at the GGA-PBE level of DFT.

Cell and atoms, written as CIF:
```
data_MgAlAg2
_chemical_formula_sum 'Mg3 Al3 Ag6'
_cell_length_a 3.8496
_cell_length_b 3.8496
_cell_length_c 19.3912
_cell_angle_alpha 90.00
_cell_angle_beta 90.00
_cell_angle_gamma 120.00
_space_group_name_H-M_alt 'R 3 m'
_space_group_IT_number 160
_space_group_name_Hall 'R 3 -2"'
loop_
_atom_site_label
_atom_site_type_symbol
_atom_site_fract_x
_atom_site_fract_y
_atom_site_fract_z
_atom_site_occupancy
Mg1 Mg 0.0000 0.0000 0.0000 1
Al1 Al 0.0000 0.0000 0.8315 1
Ag1 Ag 0.0000 0.0000 0.4238 1
Ag2 Ag 0.0000 0.0000 0.5752 1
```

Results
Formation energy from the elements = 10.0 kJ/mol of atoms
Energy above the lowest structure with this stoichiometry = 275.6 meV/atom
Density = 5.34 g/cm3